1.
First-principles (PBE) data for crystalline Tb2Pm4SmMg at its relaxed geometry, as listed in Alexandria.

Unit cell a=5.048 b=5.056 c=11.303 alpha=63.45 beta=90.00 gamma=90.00
Fractional positions:
Tb  0.000  0.000  0.000
Tb  0.500  0.000  0.500
Pm  0.000  0.745  0.755
Pm  0.000  0.255  0.245
Pm  0.500  0.754  0.245
Pm  0.500  0.246  0.755
Sm  0.000  0.500  0.500
Mg  0.500  0.500  0.000

**Magnetization**: 0.00 μB per formula unit
**DFT formation energy**: 0.01 eV per atom
**Density of states at the Fermi level**: 1.29 states/eV per atom

2.
First-principles (PBE) data for crystalline Pu2Be4NiGe3 at its relaxed geometry, as listed in Alexandria.

Unit cell a=3.918 b=3.918 c=9.644 alpha=90.00 beta=90.00 gamma=90.00
Fractional positions:
Pu  0.500  0.000  0.255
Pu  0.000  0.500  0.745
Be  0.500  0.500  0.000
Be  0.000  0.000  0.000
Be  0.500  0.000  0.625
Be  0.000  0.500  0.375
Ni  0.500  0.500  0.500
Ge  0.000  0.000  0.500
Ge  0.500  0.000  0.864
Ge  0.000  0.500  0.136

**Magnetization**: 10.70 μB per formula unit
**DFT formation energy**: -0.28 eV per atom
**Density of states at the Fermi level**: 1.93 states/eV per atom

3.
First-principles (PBE) data for crystalline Rb3Tm at its relaxed geometry, as listed in Alexandria.

Unit cell a=7.858 b=7.858 c=7.858 alpha=132.61 beta=132.61 gamma=69.26
Fractional positions:
Tm  0.000  0.000  0.000
Rb  0.750  0.250  0.500
Rb  0.250  0.750  0.500
Rb  0.500  0.500  0.000

**E above lowest polymorph**: 0 meV per atom
**Magnetization**: 0.26 μB per formula unit
**DFT formation energy**: 0.62 eV per atom
**Density of states at the Fermi level**: 1.60 states/eV per atom

4.
First-principles (PBE) data for crystalline Nb3V4Ge4 at its relaxed geometry, as listed in Alexandria.

Unit cell a=3.408 b=7.652 c=7.875 alpha=119.07 beta=102.50 gamma=90.00
Fractional positions:
Nb  0.115  0.115  0.231
Nb  0.885  0.885  0.769
Nb  0.000  0.500  0.000
V  0.321  0.110  0.643
V  0.679  0.467  0.357
V  0.679  0.890  0.357
V  0.321  0.533  0.643
Ge  0.225  0.725  0.450
Ge  0.775  0.275  0.550
Ge  0.500  0.797  0.000
Ge  0.500  0.203  0.000

**Magnetization**: 0.00 μB per formula unit
**DFT formation energy**: -0.28 eV per atom
**Density of states at the Fermi level**: 0.60 states/eV per atom

5.
First-principles (PBE) data for crystalline PmH3Ru at its relaxed geometry, as listed in Alexandria.

Unit cell a=4.935 b=7.356 c=7.030 alpha=90.00 beta=61.04 gamma=90.00
Fractional positions:
Pm  0.897  0.417  0.291
Pm  0.603  0.917  0.209
Pm  0.103  0.583  0.709
Pm  0.397  0.083  0.791
H  0.194  0.672  0.282
H  0.306  0.172  0.218
H  0.806  0.328  0.718
H  0.694  0.828  0.782
H  0.154  0.931  0.551
H  0.346  0.431  0.949
H  0.846  0.069  0.449
H  0.654  0.569  0.051
H  0.619  0.688  0.449
H  0.881  0.188  0.051
H  0.381  0.312  0.551
H  0.119  0.812  0.949
Ru  0.391  0.694  0.989
Ru  0.109  0.194  0.511
Ru  0.609  0.306  0.011
Ru  0.891  0.806  0.489

**E above lowest polymorph**: 63 meV per atom
**Magnetization**: 0.00 μB per formula unit
**Density of states at the Fermi level**: 0.06 states/eV per atom

6.
First-principles (PBE) data for crystalline TbSmTh14 at its relaxed geometry, as listed in Alexandria.

Unit cell a=7.183 b=7.183 c=11.602 alpha=90.00 beta=90.00 gamma=120.06
Fractional positions:
Tb  0.540  0.460  0.500
Sm  0.040  0.960  0.500
Th  0.208  0.792  0.000
Th  0.708  0.292  0.000
Th  0.043  0.456  0.500
Th  0.209  0.292  0.000
Th  0.544  0.957  0.500
Th  0.708  0.791  0.000
Th  0.375  0.125  0.751
Th  0.375  0.125  0.249
Th  0.875  0.625  0.751
Th  0.875  0.625  0.249
Th  0.375  0.625  0.751
Th  0.375  0.625  0.249
Th  0.875  0.125  0.752
Th  0.875  0.125  0.248

**Magnetization**: 0.00 μB per formula unit
**DFT formation energy**: 0.04 eV per atom
**Density of states at the Fermi level**: 1.23 states/eV per atom

7.
First-principles (PBE) data for crystalline SrLi2Ca at its relaxed geometry, as listed in Alexandria.

Unit cell a=3.966 b=3.968 c=8.717 alpha=90.00 beta=90.00 gamma=90.00
Fractional positions:
Sr  0.000  0.000  0.460
Ca  0.500  0.500  0.804
Li  0.000  0.000  0.045
Li  0.500  0.500  0.190

**E above lowest polymorph**: 9 meV per atom
**Magnetization**: 0.00 μB per formula unit
**DFT formation energy**: 0.03 eV per atom
**Density of states at the Fermi level**: 1.01 states/eV per atom

8.
First-principles (PBE) data for crystalline TcMoAs2Br at its relaxed geometry, as listed in Alexandria.

Unit cell a=4.848 b=4.848 c=5.286 alpha=90.00 beta=90.00 gamma=90.00
Fractional positions:
As  0.000  0.500  0.000
As  0.500  0.000  0.000
Mo  0.000  0.000  0.000
Tc  0.500  0.500  0.500
Br  0.000  0.000  0.500

**E above lowest polymorph**: 72 meV per atom
**ΔE_f (raw)**: 5.39 eV per formula unit
**Magnetization**: 5.18 μB per formula unit
**Density of states at the Fermi level**: 0.93 states/eV per atom